Crystalline NaCa2HgP at its relaxed geometry. Source: Alexandria, functional PBE.

Computed properties:
Energy relative to the elements (meV per atom): -500

Lattice parameters (Å, degrees): 5.492 5.492 5.355 90.00 90.00 90.00
Space group P4/mmm (No. 123)
One atom of each set of equivalent atoms:
Na  0.000  0.000  0.000
Ca  0.000  0.500  0.500
Hg  0.500  0.500  0.000
P  0.000  0.000  0.500

***

Crystalline DyGaNi3Ge at its relaxed geometry. Source: Alexandria, functional PBE.

Computed properties:
Energy relative to the elements (meV per atom): -359

Lattice parameters (Å, degrees): 6.142 11.558 5.410 90.00 90.00 90.00
Space group Cmcm (No. 63)
One atom of each set of equivalent atoms:
Dy  0.000  0.207  0.250
Ga  0.000  0.453  0.250
Ni  0.000  0.340  0.750
Ni  0.199  0.000  0.000
Ge  0.000  0.136  0.750

***

Crystalline Hf5N2 at its relaxed geometry. Source: Alexandria, functional PBE.

Computed properties:
E_form (uncorrected) (eV/atom): -1.076

Lattice parameters (Å, degrees): 14.254 5.508 6.122 90.00 104.54 90.00
Space group C2/c (No. 15)
One atom of each set of equivalent atoms:
Hf  0.000  0.087  0.250
Hf  0.102  0.427  0.964
Hf  0.203  0.074  0.639
N  0.151  0.247  0.302

***

Crystalline Ca3Y3ErSe8 at its relaxed geometry. Source: Alexandria, functional PBE.

Computed properties:
E_form (uncorrected) (eV/atom): -1.926

Lattice parameters (Å, degrees): 8.1989 8.1989 20.5221 90.00 90.00 120.00
Space group R-3m (No. 166, hexagonal axes)
One atom of each set of equivalent atoms:
Ca  0.0000  0.5000  0.0000
Y  0.0000  0.5000  0.5000
Er  0.0000  0.0000  0.5000
Se  0.0000  0.0000  0.2486
Se  0.0018  0.5009  0.2471

***

Crystalline La5Sm2 at its relaxed geometry. Source: Alexandria, functional PBE.

Computed properties:
Energy relative to the elements (meV per atom): 92
E above lowest polymorph (meV per atom): 0

Lattice parameters (Å, degrees): 9.978 6.003 9.269 90.00 114.31 90.00
Space group C2/m (No. 12)
One atom of each set of equivalent atoms:
La  0.000  0.000  0.000
La  0.074  0.500  0.709
La  0.162  0.000  0.472
Sm  0.198  0.500  0.114

***

Crystalline Cu2AsCl at its relaxed geometry. Source: Alexandria, functional PBE.

Computed properties:
E_form (uncorrected) (eV/atom): 0.154
E above lowest polymorph (meV per atom): 236

Lattice parameters (Å, degrees): 3.076 3.076 6.834 90.00 90.00 90.00
Space group P4/mmm (No. 123)
One atom of each set of equivalent atoms:
Cu  0.000  0.000  0.225
As  0.500  0.500  0.000
Cl  0.500  0.500  0.500

***

Crystalline InIrPt4 at its relaxed geometry. Source: Alexandria, functional PBE.

Computed properties:
Energy relative to the elements (meV per atom): 231

Lattice parameters (Å, degrees): 7.447 7.447 7.447 90.00 90.00 90.00
Space group F-43m (No. 216)
One atom of each set of equivalent atoms:
In  0.000  0.000  0.000
Ir  0.250  0.250  0.250
Pt  0.124  0.124  0.624

***

Crystalline Ca2TlRhO6 at its relaxed geometry. Source: Alexandria, functional PBE.

Computed properties:
E_form (uncorrected) (eV/atom): -1.404

Lattice parameters (Å, degrees): 5.530 5.530 5.144 90.00 90.00 90.00
Space group P4mm (No. 99)
One atom of each set of equivalent atoms:
Ca  0.000  0.500  0.000
Tl  0.000  0.000  0.560
Rh  0.500  0.500  0.625
O  0.000  0.000  0.152
O  0.265  0.265  0.750
O  0.500  0.500  0.270

***

Crystalline BaYGa at its relaxed geometry. Source: Alexandria, functional PBE.

Computed properties:
Energy relative to the elements (meV per atom): -338
E above lowest polymorph (meV per atom): 0

Lattice parameters (Å, degrees): 4.149 4.309 12.353 79.97 89.99 90.00
Space group P-1 (No. 2)
One atom of each set of equivalent atoms:
Ba  0.250  0.178  0.144
Y  0.250  0.439  0.621
Ga  0.250  0.036  0.429

***

Crystalline VRe2Cl at its relaxed geometry. Source: Alexandria, functional PBE.

Computed properties:
E_form (uncorrected) (eV/atom): 1.007
E above lowest polymorph (meV per atom): 0

Lattice parameters (Å, degrees): 6.165 6.165 6.165 90.00 90.00 90.00
Space group Fm-3m (No. 225)
One atom of each set of equivalent atoms:
V  0.000  0.000  0.000
Re  0.250  0.250  0.250
Cl  0.000  0.000  0.500

***

Crystalline TlHS2Cl at its relaxed geometry. Source: Alexandria, functional PBE.

Computed properties:
E above lowest polymorph (meV per atom): 626

Lattice parameters (Å, degrees): 5.297 5.297 5.464 90.00 90.00 90.00
Space group P4/mmm (No. 123)
One atom of each set of equivalent atoms:
Tl  0.000  0.000  0.000
H  0.500  0.500  0.500
S  0.000  0.500  0.000
Cl  0.000  0.000  0.500

***

Crystalline Sr2Li2Mg at its relaxed geometry. Source: Alexandria, functional PBE.

Computed properties:
Energy relative to the elements (meV per atom): 53
E above lowest polymorph (meV per atom): 72

Lattice parameters (Å, degrees): 4.076 4.076 20.820 90.00 90.00 90.00
Space group I4/mmm (No. 139)
One atom of each set of equivalent atoms:
Sr  0.000  0.000  0.105
Li  0.000  0.500  0.250
Mg  0.000  0.000  0.500

***

Record order is preserved below.
Magnetic moment: 0.00 0.00 0.00 0.00 0.00 0.00 0.00 0.00 0.00 0.00 3.22 0.00 μB per formula unit